[1]
Compound: Li2CeSc2Se6
Source: the Alexandria database
Functional: PBE
Structure: optimized geometry

Lattice parameters (Å, degrees): 6.8812 6.8812 6.8295 99.62 99.62 120.34
Fractional coordinates of all 11 atoms:
Li: 0.8340 0.1660 0.0000
Li: 0.1660 0.8340 0.0000
Ce: 0.0000 0.0000 0.5000
Sc: 0.3338 0.6662 0.5000
Sc: 0.6662 0.3338 0.5000
Se: 0.7366 0.7366 0.7437
Se: 0.0764 0.4256 0.7426
Se: 0.2634 0.2634 0.2563
Se: 0.4256 0.0764 0.7426
Se: 0.9236 0.5744 0.2574
Se: 0.5744 0.9236 0.2574

Calculated values
The energy relative to the elements, uncorrected is -1.575 eV per atom. The volume comes out at 23.90 Å³/atom. As for the space group: C2/m, No. 12.

---

[2]
Compound: Dy6Tl2Os
Source: the Alexandria database
Functional: PBE
Structure: optimized geometry

Lattice parameters (Å, degrees): 3.9217 8.6116 8.5502 120.24 90.00 90.00
Fractional coordinates of all 9 atoms:
Dy: 0.5000 0.6085 0.0000
Dy: 0.5000 0.3819 0.3842
Dy: 0.5000 0.9978 0.6158
Dy: 0.0000 0.2475 0.0000
Dy: 0.0000 0.7600 0.7644
Dy: 0.0000 0.9956 0.2356
Tl: 0.0000 0.3301 0.6629
Tl: 0.0000 0.6673 0.3371
Os: 0.5000 0.0112 0.0000

Calculated values
The calculation puts the formation energy from the elements at -286 meV/atom. For the offset from the most stable computed form, the calculation gives 0.0 meV per atom. The volume comes out at 27.72 Å³/atom. As for the space group: Amm2, No. 38.

---

[3]
Compound: KGdTl2
Source: the Alexandria database
Functional: PBE
Structure: optimized geometry

Lattice parameters (Å, degrees): 3.7608 3.7608 11.1456 80.29 80.29 60.00
Each line ends with the local moment (μB).
Fractional coordinates of all 4 atoms:
Tl: 0.7437 0.7437 0.7689  0.01
Tl: 0.2563 0.2563 0.2311  0.01
Gd: 0.0000 0.0000 0.0000  7.16
K: 0.5000 0.5000 0.5000  0.00

Calculated values
The calculation puts the formation energy from the elements at -72 meV/atom. For the offset from the most stable computed form, the calculation gives 150.6 meV per atom. The volume comes out at 33.48 Å³/atom. As for the space group: R-3m, No. 166.

---

[4]
Compound: Pm3Sm2Al3
Source: the Alexandria database
Functional: PBE
Structure: optimized geometry

Lattice parameters (Å, degrees): 3.7716 5.2770 11.5420 103.21 99.40 90.00
Fractional coordinates of all 8 atoms:
Pm: 0.3821 0.3821 0.7643
Pm: 0.6179 0.6179 0.2357
Pm: 0.5000 0.0000 0.0000
Sm: 0.2708 0.7708 0.5416
Sm: 0.7292 0.2292 0.4584
Al: 0.8831 0.8831 0.7662
Al: 0.0000 0.5000 0.0000
Al: 0.1169 0.1169 0.2338

Calculated values
The calculation puts the formation energy from the elements at -266 meV/atom. The volume comes out at 27.56 Å³/atom. As for the space group: Immm, No. 71.

---

[5]
Compound: BaAl6Ag4
Source: the Alexandria database
Functional: PBE
Structure: optimized geometry

Lattice parameters (Å, degrees): 4.4111 7.5635 7.5635 120.00 90.00 90.00
Fractional coordinates of all 11 atoms:
Ba: 0.0000 0.0000 0.0000
Al: 0.0000 0.5379 0.0758
Al: 0.5000 0.5864 0.7932
Al: 0.0000 0.5379 0.4621
Al: 0.0000 0.9242 0.4621
Al: 0.5000 0.2068 0.7932
Al: 0.5000 0.2068 0.4136
Ag: 0.5000 0.7958 0.5917
Ag: 0.5000 0.4083 0.2042
Ag: 0.5000 0.7958 0.2042
Ag: 0.0000 0.3333 0.6667

Calculated values
The calculation puts the formation energy from the elements at -157 meV/atom. The volume comes out at 19.87 Å³/atom. As for the space group: P-6m2, No. 187.

---

[6]
Compound: CaSb2Se
Source: the Alexandria database
Functional: PBE
Structure: optimized geometry

Lattice parameters (Å, degrees): 7.7912 7.7912 7.7912 32.32 32.32 32.32
Fractional coordinates of all 4 atoms:
Sb: 0.9920 0.9920 0.9920
Sb: 0.2528 0.2528 0.2528
Ca: 0.7623 0.7623 0.7623
Se: 0.4929 0.4929 0.4929

Calculated values
The energy relative to the elements, uncorrected is -0.760 eV per atom. The volume comes out at 30.05 Å³/atom. As for the space group: R3m, No. 160.

---

[7]
Compound: Zr4AlTc
Source: the Alexandria database
Functional: PBE
Structure: optimized geometry

Lattice parameters (Å, degrees): 4.6118 4.6503 7.9149 72.83 73.06 60.27
Fractional coordinates of all 6 atoms:
Zr: 0.6292 0.6313 0.1103
Zr: 0.3708 0.3687 0.8897
Zr: 0.1211 0.1158 0.6421
Zr: 0.8789 0.8842 0.3579
Al: 0.5000 0.5000 0.5000
Tc: 0.0000 0.0000 0.0000

Calculated values
The calculation puts the formation energy from the elements at 46 meV/atom. For the offset from the most stable computed form, the calculation gives 316.9 meV per atom. The volume comes out at 23.11 Å³/atom. As for the space group: C2/m, No. 12.

---

[8]
Compound: Ce2YUP4
Source: the Alexandria database
Functional: PBE
Structure: optimized geometry

Lattice parameters (Å, degrees): 4.0234 6.9913 6.9876 109.32 90.00 90.00
Each line ends with the local moment (μB).
Fractional coordinates of all 8 atoms:
Ce: 0.5000 0.0000 0.5000  0.53
Ce: 0.0000 0.5000 0.5000  0.60
Y: 0.5000 0.5000 0.0000  0.02
U: 0.0000 0.0000 0.0000  2.02
P: 0.5000 0.2432 0.2398  -0.05
P: 0.5000 0.7568 0.7602  -0.05
P: 0.0000 0.2475 0.7572  -0.03
P: 0.0000 0.7525 0.2428  -0.03

Calculated values
The calculation puts the formation energy from the elements at -1393 meV/atom. The volume comes out at 23.19 Å³/atom. As for the space group: P2/m, No. 10.

---

[9]
Compound: NdDy2Zr
Source: the Alexandria database
Functional: PBE
Structure: optimized geometry

Lattice parameters (Å, degrees): 4.9155 4.9023 4.9023 90.00 90.00 90.00
Fractional coordinates of all 4 atoms:
Nd: 0.5000 0.5000 0.5000
Zr: 0.5000 0.0000 0.0000
Dy: 0.0000 0.0000 0.5000
Dy: 0.0000 0.5000 0.0000

Calculated values
The calculation puts the formation energy from the elements at 111 meV/atom. For the offset from the most stable computed form, the calculation gives 26.0 meV per atom. The volume comes out at 29.53 Å³/atom. As for the space group: P4/mmm, No. 123.

---

[10]
Compound: SrMgGePt2
Source: the Alexandria database
Functional: PBE
Structure: optimized geometry

Lattice parameters (Å, degrees): 4.4381 3.9511 6.6562 107.27 109.47 90.00
Fractional coordinates of all 5 atoms:
Sr: 0.4533 0.4533 0.9065
Mg: 0.1897 0.6897 0.3793
Ge: 0.8302 0.8302 0.6605
Pt: 0.7007 0.2007 0.4014
Pt: 0.0383 0.0383 0.0766

Calculated values
The calculation puts the formation energy from the elements at -739 meV/atom. The volume comes out at 20.89 Å³/atom. As for the space group: Imm2, No. 44.

---

[11]
Compound: V2FeSe5
Source: the Alexandria database
Functional: PBE
Structure: optimized geometry

Lattice parameters (Å, degrees): 4.3987 6.6420 6.7675 83.82 71.04 70.66
Each line ends with the local moment (μB).
Fractional coordinates of all 8 atoms:
V: 0.8084 0.5000 0.8831  0.03
V: 0.1916 0.5000 0.1169  0.03
Fe: 0.5000 0.5000 0.5000  1.37
Se: 0.2208 0.7485 0.8099  -0.02
Se: 0.5307 0.7485 0.1901  -0.02
Se: 0.0000 0.5000 0.5000  0.03
Se: 0.7792 0.2515 0.1901  -0.02
Se: 0.4693 0.2515 0.8099  -0.02

Calculated values
The energy relative to the elements, uncorrected is -0.331 eV per atom. The volume comes out at 22.06 Å³/atom. As for the space group: Fmmm, No. 69.

---

[12]
Compound: NiP2IrSe
Source: the Alexandria database
Functional: PBE
Structure: optimized geometry

Lattice parameters (Å, degrees): 4.4457 4.9592 4.4457 90.00 90.00 90.00
Each line ends with the local moment (μB).
Fractional coordinates of all 5 atoms:
Ni: 0.0000 0.5000 0.0000  0.51
Ir: 0.0000 0.0000 0.0000  0.01
Se: 0.5000 0.5000 0.5000  0.04
P: 0.0000 0.0000 0.5000  0.00
P: 0.5000 0.0000 0.0000  0.00

Calculated values
The energy relative to the elements, uncorrected is 0.688 eV per atom. The volume comes out at 19.60 Å³/atom. As for the space group: P4/mmm, No. 123.

---

[13]
Compound: BIr2Se
Source: the Alexandria database
Functional: PBE
Structure: optimized geometry

Lattice parameters (Å, degrees): 4.2272 4.2272 4.2272 60.00 60.00 60.00
Each line ends with the local moment (μB).
Fractional coordinates of all 4 atoms:
B: 0.0000 0.0000 0.0000  0.00
Ir: 0.2500 0.2500 0.2500  0.19
Ir: 0.7500 0.7500 0.7500  0.19
Se: 0.5000 0.5000 0.5000  0.02

Calculated values
The energy relative to the elements, uncorrected is 0.818 eV per atom. For the offset from the most stable computed form, the calculation gives 717.1 meV per atom. The volume comes out at 13.35 Å³/atom. As for the space group: Fm-3m, No. 225.